1.
ZnCr4Re (GGA-PBE, relaxed); magnetization = 0.000 μB/cell; SG = No. 216; formation energy = 0.103 eV/atom
1.0
-1.303 -3.501 2.931
0.575 0.491 4.687
-3.786 0.544 2.812
Cr Zn Re
4 1 1
Direct
0.877 0.374 0.374
0.374 0.374 0.877
0.374 0.877 0.374
0.374 0.374 0.374
0.000 0.000 0.000
0.750 0.750 0.750

=====

2.
ZnCrRe4 (GGA-PBE, relaxed); magnetization = 2.093 μB/cell; SG = No. 216; formation energy = 0.518 eV/atom
1.0
4.119 -3.095 0.121
-0.110 -4.328 2.795
-0.151 -4.583 -2.352
Zn Re Cr
1 4 1
Direct
0.250 0.250 0.250
0.625 0.625 0.625
0.625 0.126 0.625
0.625 0.625 0.126
0.126 0.625 0.625
0.000 0.000 0.000

=====

3.
ZnCr2Re (GGA-PBE, relaxed); magnetization = 0.000 μB/cell; SG = No. 35; formation energy = 0.157 eV/atom
1.0
2.598 -0.008 0.000
-0.903 2.436 0.000
0.000 0.000 8.413
Zn Re Cr
1 1 2
Direct
0.500 0.500 0.761
0.000 0.000 0.486
0.500 0.500 0.236
0.000 0.000 0.017

=====

4.
ZnCr2Re (GGA-PBE, relaxed); magnetization = 0.001 μB/cell; SG = No. 65; formation energy = 0.181 eV/atom
1.0
-1.875 -0.403 1.742
0.276 -2.131 -1.448
5.698 -2.963 5.447
Zn Re Cr
1 1 2
Direct
0.500 0.500 0.750
0.500 0.500 0.250
0.000 0.000 0.496
0.000 0.000 0.004

=====

5.
ZnCr2Re (GGA-PBE, relaxed); magnetization = 0.005 μB/cell; SG = No. 160; formation energy = 0.268 eV/atom
1.0
8.483 0.008 0.005
8.040 2.707 0.005
8.040 1.321 2.363
Zn Re Cr
1 1 2
Direct
0.746 0.746 0.746
0.505 0.505 0.505
0.257 0.257 0.257
0.992 0.992 0.992

=====

6.
ZnCr2Re (GGA-PBE, relaxed); magnetization = 0.028 μB/cell; SG = No. 119; formation energy = 0.273 eV/atom
1.0
-1.541 -2.508 -3.608
3.325 -0.742 -3.174
-0.208 -0.560 4.617
Cr Re Zn
2 1 1
Direct
0.250 0.750 0.500
0.000 0.000 0.000
0.500 0.500 0.000
0.750 0.250 0.500

=====

7.
ZnCr2Re (GGA-PBE, relaxed); magnetization = 2.078 μB/cell; SG = No. 99; formation energy = 0.185 eV/atom
1.0
-2.604 1.214 -0.664
-0.820 -2.494 -1.345
-2.339 -2.102 5.325
Zn Cr Re
1 2 1
Direct
0.500 0.500 0.761
0.000 0.000 0.019
0.500 0.500 0.240
0.000 0.000 0.480

=====

8.
ZnCr3Re (GGA-PBE, relaxed); magnetization = 8.000 μB/cell; SG = No. 221; formation energy = 1.377 eV/atom
1.0
4.663 0.000 0.000
0.000 4.663 0.000
0.000 0.000 4.663
Cr Re Zn
3 1 1
Direct
0.000 0.000 0.500
0.000 0.500 0.000
0.500 0.000 0.000
0.000 0.000 0.000
0.500 0.500 0.500